Crystalline Cr2AgBiO8 at its relaxed geometry. Source: the Alexandria database, functional PBE with a Hubbard U.

Calculated values
VASP energy   -6.166 eV per atom
ΔE to the lowest computed polymorph   0.000 eV/atom
Space-group type   No. 82

a b c (Å): 6.944 6.944 6.944
angles (deg): 136.63 136.63 63.00
Sites, in units of the cell vectors:
Cr 0.250 0.750 0.500
Cr 0.000 0.000 0.000
Ag 0.750 0.250 0.500
Bi 0.500 0.500 0.000
O 0.453 0.589 0.383
O 0.792 0.169 0.111
O 0.929 0.547 0.136
O 0.411 0.794 0.864
O 0.831 0.942 0.623
O 0.206 0.071 0.617
O 0.319 0.208 0.377
O 0.058 0.681 0.889